1.
Material: ZnIn3Hg7
Method: DFT, PBE
State: optimized geometry

abc: 9.268 9.268 7.284
angles: 90.00 90.00 113.97
Positions (direct):
Zn  0.053  0.053  0.500
Zn  0.947  0.947  0.000
In  0.557  0.557  0.500
In  0.443  0.443  0.000
In  0.481  0.004  0.456
In  0.519  0.996  0.956
In  0.004  0.481  0.544
In  0.996  0.519  0.044
Hg  0.749  0.951  0.653
Hg  0.251  0.049  0.153
Hg  0.951  0.749  0.347
Hg  0.049  0.251  0.847
Hg  0.215  0.350  0.326
Hg  0.785  0.650  0.826
Hg  0.350  0.215  0.674
Hg  0.650  0.785  0.174
Hg  0.296  0.704  0.250
Hg  0.704  0.296  0.750
Hg  0.657  0.343  0.250
Hg  0.343  0.657  0.750
Hg  0.852  0.148  0.250
Hg  0.148  0.852  0.750

Output
As for the formation energy: 42 meV/atom. As for the space-group type: No. 20.


2.
Material: LiF
Method: DFT, PBE
State: optimized geometry

abc: 5.375 5.375 5.375
angles: 90.00 90.00 90.00
Positions (direct):
Li  0.250  0.000  0.500
Li  0.750  0.000  0.500
Li  0.000  0.500  0.250
Li  0.000  0.500  0.750
Li  0.500  0.250  0.000
Li  0.500  0.750  0.000
F  0.250  0.500  0.000
F  0.750  0.500  0.000
F  0.500  0.000  0.250
F  0.500  0.000  0.750
F  0.000  0.250  0.500
F  0.000  0.750  0.500

Output
As for the space-group type: No. 223. Its uncorrected formation energy is -2.9199 eV/atom. The energy above the lowest structure with this stoichiometry is 32.0 meV per atom.


Repeat the second record exactly.
Material: LiF
Method: DFT, PBE
State: optimized geometry

abc: 5.375 5.375 5.375
angles: 90.00 90.00 90.00
Positions (direct):
Li  0.250  0.000  0.500
Li  0.750  0.000  0.500
Li  0.000  0.500  0.250
Li  0.000  0.500  0.750
Li  0.500  0.250  0.000
Li  0.500  0.750  0.000
F  0.250  0.500  0.000
F  0.750  0.500  0.000
F  0.500  0.000  0.250
F  0.500  0.000  0.750
F  0.000  0.250  0.500
F  0.000  0.750  0.500

Output
As for the space-group type: No. 223. Its uncorrected formation energy is -2.9199 eV/atom. The energy above the lowest structure with this stoichiometry is 32.0 meV per atom.